{
  "formula": "Zr5Ag",
  "functional": "PBE-GGA",
  "state": "relaxed",
  "lattice": [[-6.733, 4.674, 0.303], [4.645, -6.679, 1.045], [1.400, 1.711, 4.713]],
  "species": ["Zr", "Zr", "Zr", "Zr", "Zr", "Ag"],
  "frac_coords": [[0.883, 0.117, 0.500], [0.344, 0.656, 0.000], [0.548, 0.452, 0.500], [0.671, 0.329, 0.000], [0.216, 0.784, 0.500], [0.005, 0.995, 0.000]],
  "e_form_ev_per_atom": 0.047,
  "magnetic_moment_mub_per_fu": 0.0,
  "final_energy_ev_per_fu": -45.31,
  "de_polymorph_ev_per_atom": 0.073
}